Entry 1:
Compound: Ta3VOs
Source: Alexandria
Functional: PBE
Structure: relaxed

Calculated values
ΔE_f	132.2	kJ per mole of atoms
energy above the most stable polymorph in this dataset	1575	meV per atom

Geometry as CIF:
```
data_Ta3VOs
_chemical_formula_sum 'Ta3 V1 Os1'
_space_group_name_H-M_alt 'P m -3 m'
_space_group_IT_number 221
_space_group_name_Hall '-P 4 2 3'
_cell_length_a 4.5434
_cell_length_b 4.5434
_cell_length_c 4.5434
_cell_angle_alpha 90.00
_cell_angle_beta 90.00
_cell_angle_gamma 90.00
loop_
_atom_site_label
_atom_site_fract_x
_atom_site_fract_y
_atom_site_fract_z
Ta1 0.0000 0.0000 0.5000
V1 0.0000 0.0000 0.0000
Os1 0.5000 0.5000 0.5000
```


Entry 2:
Compound: Tb2YTeO8
Source: Alexandria
Functional: PBE
Structure: relaxed

Calculated values
E_form (uncorrected)	-2.50	eV per atom

Geometry as CIF:
```
data_Tb2YTeO8
_chemical_formula_sum 'Tb4 Y2 Te2 O16'
_space_group_name_H-M_alt 'C m m m'
_space_group_IT_number 65
_space_group_name_Hall '-C 2 2'
_cell_length_a 7.1032
_cell_length_b 7.2104
_cell_length_c 6.8949
_cell_angle_alpha 90.00
_cell_angle_beta 90.00
_cell_angle_gamma 90.00
loop_
_atom_site_label
_atom_site_fract_x
_atom_site_fract_y
_atom_site_fract_z
Tb1 0.0000 0.0000 0.2491
Y1 0.0000 0.5000 0.5000
Te1 0.0000 0.5000 0.0000
O1 0.0000 0.3182 0.2113
O2 0.1918 0.0000 0.5000
O3 0.2263 0.0000 0.0000
```


Entry 3:
Compound: Nd3CBr2
Source: Alexandria
Functional: PBE
Structure: relaxed

Calculated values
E_form (uncorrected)	-0.84	eV per atom

Geometry as CIF:
```
data_Nd3CBr2
_chemical_formula_sum 'Nd12 C4 Br8'
_space_group_name_H-M_alt 'C 1 2/c 1'
_space_group_IT_number 15
_cell_length_a 7.8379
_cell_length_b 11.9354
_cell_length_c 6.6909
_cell_angle_alpha 90.00
_cell_angle_beta 108.77
_cell_angle_gamma 90.00
loop_
_space_group_symop_operation_xyz
'x,y,z'
'-x,-y,-z'
'-x,y,-z+1/2'
'x,-y,z+1/2'
'x+1/2,y+1/2,z'
'-x+1/2,-y+1/2,-z'
'-x+1/2,y+1/2,-z+1/2'
'x+1/2,-y+1/2,z+1/2'
loop_
_atom_site_label
_atom_site_fract_x
_atom_site_fract_y
_atom_site_fract_z
Nd1 0.1799 0.0724 0.4966
Nd2 0.2500 0.2500 0.0000
C1 0.0000 0.0873 0.7500
Br1 0.0000 0.2735 0.2500
Br2 0.0000 0.4303 0.7500
```


The calculation returns the following total magnetization values, one per record and in order: 0.0 1.7 0.0 μB/cell.